Computed, not measured: a relaxed Nb4VMo3 crystal at the PBE-GGA level of DFT.

offset from the most stable computed form = 223 meV per atom
ΔE_f = 0.12 eV per atom
SG = Pmn2_1, No. 31

a = 5.2887 Å, b = 5.4520 Å, c = 9.4389 Å
α = 90.00°, β = 90.00°, γ = 90.00°
Fractional coordinates of all 16 atoms:
Mo 0.5604 0.4495 0.7503
Mo 0.0604 0.5505 0.2503
Mo 0.8217 0.8023 0.0000
Mo 0.5604 0.4495 0.2497
Mo 0.3217 0.1977 0.5000
Mo 0.0604 0.5505 0.7497
V 0.8197 0.3132 0.0000
V 0.3197 0.6868 0.5000
Nb 0.8198 0.2967 0.5000
Nb 0.5548 0.9465 0.7473
Nb 0.8237 0.7938 0.5000
Nb 0.0548 0.0535 0.7527
Nb 0.0548 0.0535 0.2473
Nb 0.3237 0.2062 0.0000
Nb 0.5548 0.9465 0.2527
Nb 0.3199 0.7033 0.0000


Computed, not measured: a relaxed Ce6Ga3Si crystal at the PBE-GGA level of DFT.

ΔE_f (raw) = -0.292 eV/atom
SG = R-3m, No. 166

a = 7.9892 Å, b = 7.9892 Å, c = 7.9892 Å
α = 87.01°, β = 87.01°, γ = 87.01°
Each line ends with the local moment (μB).
Fractional coordinates of all 20 atoms:
Ce 0.8918 0.2410 0.2411  0.25
Ce 0.2411 0.8918 0.2410  0.25
Ce 0.1624 0.5108 0.5107  0.22
Ce 0.4893 0.8376 0.4892  0.22
Ce 0.7589 0.1082 0.7590  0.25
Ce 0.5107 0.1624 0.5108  0.22
Ce 0.7590 0.7589 0.1082  0.25
Ce 0.1082 0.7590 0.7589  0.25
Ce 0.5108 0.5107 0.1624  0.22
Ce 0.4892 0.4893 0.8376  0.22
Ce 0.2410 0.2411 0.8918  0.25
Ce 0.8376 0.4892 0.4893  0.22
Ga 0.1142 0.5468 0.1142  0.00
Ga 0.4532 0.8858 0.8858  0.00
Ga 0.5468 0.1142 0.1142  0.00
Ga 0.1142 0.1142 0.5468  0.00
Ga 0.8858 0.8858 0.4532  0.00
Ga 0.8858 0.4532 0.8858  0.00
Si 0.0000 0.0000 0.0000  -0.01
Si 0.5000 0.5000 0.5000  0.00


Computed, not measured: a relaxed CaGaRhO4 crystal at the PBE-GGA level of DFT.

ΔE_f (raw) = -1.480 eV/atom
SG = Cmcm, No. 63

a = 5.4399 Å, b = 5.4399 Å, c = 6.9968 Å
α = 90.00°, β = 90.00°, γ = 113.57°
Fractional coordinates of all 14 atoms:
Rh 0.8184 0.1816 0.2500
Rh 0.1816 0.8184 0.7500
O 0.2389 0.7611 0.0245
O 0.2164 0.2404 0.2500
O 0.7611 0.2389 0.5245
O 0.7611 0.2389 0.9755
O 0.7836 0.7596 0.7500
O 0.2389 0.7611 0.4755
O 0.7596 0.7836 0.2500
O 0.2404 0.2164 0.7500
Ca 0.5000 0.5000 0.5000
Ca 0.5000 0.5000 0.0000
Ga 0.8658 0.1342 0.7500
Ga 0.1342 0.8658 0.2500


Computed, not measured: a relaxed BePbIN2 crystal at the PBE-GGA level of DFT.

ΔE_f (raw) = 1.407 eV/atom
offset from the most stable computed form = 0 meV per atom
SG = P4/mmm, No. 123

a = 4.2787 Å, b = 4.2787 Å, c = 5.4286 Å
α = 90.00°, β = 90.00°, γ = 90.00°
Each line ends with the local moment (μB).
Fractional coordinates of all 5 atoms:
N 0.5000 0.0000 0.0000  1.07
N 0.0000 0.5000 0.0000  1.07
Be 0.0000 0.0000 0.0000  -0.05
Pb 0.5000 0.5000 0.5000  -0.09
I 0.0000 0.0000 0.5000  0.07


Computed, not measured: a relaxed BeTeSe crystal at the PBE-GGA level of DFT.

ΔE_f (raw) = -0.056 eV/atom
offset from the most stable computed form = 81 meV per atom
SG = P3m1, No. 156

a = 3.5049 Å, b = 3.5049 Å, c = 6.5576 Å
α = 90.00°, β = 90.00°, γ = 120.00°
Fractional coordinates of all 3 atoms:
Be 0.0000 0.0000 0.0986
Te 0.3333 0.6667 0.7019
Se 0.6667 0.3333 0.1995


Computed, not measured: a relaxed K5Sn2Ge4 crystal at the PBE-GGA level of DFT.

ΔE_f = 0.08 eV per atom
SG = C2/m, No. 12

a = 6.5974 Å, b = 6.9472 Å, c = 10.0109 Å
α = 70.82°, β = 70.76°, γ = 61.65°
Fractional coordinates of all 11 atoms:
K 0.3409 0.7098 0.1296
K 0.6591 0.2902 0.8704
K 0.1804 0.2902 0.8704
K 0.0000 0.5000 0.5000
K 0.8196 0.7098 0.1296
Ge 0.2857 0.2250 0.2036
Ge 0.3299 0.9305 0.4098
Ge 0.6701 0.0695 0.5902
Ge 0.7143 0.7750 0.7964
Sn 0.2073 0.8794 0.7061
Sn 0.7927 0.1206 0.2939


Computed, not measured: a relaxed TmPu2Ru2 crystal at the PBE-GGA level of DFT.

offset from the most stable computed form = 0 meV per atom
ΔE_f = -0.04 eV per atom
SG = Imma, No. 74

a = 7.9378 Å, b = 7.9378 Å, c = 4.3951 Å
α = 106.07°, β = 106.07°, γ = 106.79°
Each line ends with the local moment (μB).
Fractional coordinates of all 10 atoms:
Tm 0.8035 0.6965 0.7500  0.22
Tm 0.1965 0.3035 0.2500  0.22
Pu 0.8085 0.0910 0.4497  5.09
Pu 0.1915 0.9090 0.5503  5.09
Pu 0.4090 0.6915 0.0503  5.09
Pu 0.5910 0.3085 0.9497  5.09
Ru 0.0546 0.4454 0.7500  -0.50
Ru 0.9454 0.5546 0.2500  -0.50
Ru 0.5825 0.9175 0.7500  -0.57
Ru 0.4175 0.0825 0.2500  -0.57


Computed, not measured: a relaxed KFe2Br6 crystal at the PBE-GGA level of DFT.

ΔE_f (raw) = -0.754 eV/atom
SG = C2/c, No. 15

a = 6.8406 Å, b = 10.1053 Å, c = 10.1053 Å
α = 90.59°, β = 83.49°, γ = 83.49°
Each line ends with the local moment (μB).
Fractional coordinates of all 18 atoms:
K 0.7500 0.8733 0.1267  0.01
K 0.2500 0.1267 0.8733  0.01
Br 0.5903 0.2804 0.4201  0.19
Br 0.4053 0.4271 0.8304  0.20
Br 0.5947 0.5729 0.1696  0.20
Br 0.6938 0.9519 0.7945  0.14
Br 0.9053 0.8304 0.4271  0.20
Br 0.1938 0.7945 0.9519  0.14
Br 0.0947 0.1696 0.5729  0.20
Br 0.3062 0.0481 0.2055  0.14
Br 0.8062 0.2055 0.0481  0.14
Br 0.0902 0.4201 0.2804  0.19
Br 0.9098 0.5799 0.7196  0.19
Br 0.4098 0.7196 0.5799  0.19
Fe 0.7366 0.7786 0.6297  3.56
Fe 0.2366 0.6297 0.7786  3.56
Fe 0.2634 0.2214 0.3703  3.56
Fe 0.7634 0.3703 0.2214  3.56


Computed, not measured: a relaxed Ac8Ir2Pb3 crystal at the PBE-GGA level of DFT.

ΔE_f = -0.20 eV per atom
SG = R-3m, No. 166

a = 7.4722 Å, b = 7.4722 Å, c = 11.5344 Å
α = 71.10°, β = 71.10°, γ = 60.00°
Fractional coordinates of all 13 atoms:
Ac 0.7296 0.7296 0.3232
Ac 0.2704 0.2704 0.6768
Ac 0.3016 0.3016 0.0951
Ac 0.7296 0.2176 0.3232
Ac 0.6984 0.6984 0.9049
Ac 0.2176 0.7296 0.3232
Ac 0.2704 0.7824 0.6768
Ac 0.7824 0.2704 0.6768
Ir 0.3874 0.3874 0.8379
Ir 0.6126 0.6126 0.1621
Pb 0.8020 0.8020 0.5940
Pb 0.1980 0.1980 0.4060
Pb 0.0000 0.0000 0.0000


Computed, not measured: a relaxed Mg3Sc2Cd4 crystal at the PBE-GGA level of DFT.

offset from the most stable computed form = 0 meV per atom
ΔE_f = -0.19 eV per atom
SG = C2/m, No. 12

a = 4.9433 Å, b = 4.9402 Å, c = 9.2469 Å
α = 90.09°, β = 90.01°, γ = 59.97°
Fractional coordinates of all 9 atoms:
Mg 0.6667 0.6665 0.5650
Mg 0.0000 0.0000 0.0000
Mg 0.3333 0.3335 0.4350
Sc 0.3333 0.3333 0.7886
Sc 0.6667 0.6667 0.2114
Cd 0.0001 0.9998 0.6641
Cd 0.6666 0.6668 0.8903
Cd 0.3334 0.3332 0.1097
Cd 0.9999 0.0002 0.3359


Computed, not measured: a relaxed NaGdHo crystal at the PBE-GGA level of DFT.

offset from the most stable computed form = 0 meV per atom
ΔE_f = 0.14 eV per atom
SG = P3m1, No. 156

a = 3.5329 Å, b = 3.5329 Å, c = 9.2049 Å
α = 90.00°, β = 90.00°, γ = 120.00°
Each line ends with the local moment (μB).
Fractional coordinates of all 3 atoms:
Na 0.0000 0.0000 0.0021  0.00
Gd 0.3333 0.6667 0.6487  -7.21
Ho 0.6667 0.3333 0.3492  -0.04


Computed, not measured: a relaxed Tl5In5Pb crystal at the PBE-GGA level of DFT.

ΔE_f = 0.09 eV per atom
SG = P-6m2, No. 187

a = 5.9755 Å, b = 5.9755 Å, c = 11.1241 Å
α = 90.00°, β = 90.00°, γ = 120.00°
Fractional coordinates of all 11 atoms:
In 0.0000 0.0000 0.7342
In 0.3405 0.1703 0.5000
In 0.0000 0.0000 0.2658
In 0.8297 0.1703 0.5000
In 0.8297 0.6595 0.5000
Tl 0.0000 0.0000 0.0000
Tl 0.3333 0.6667 0.6846
Tl 0.6667 0.3333 0.1638
Tl 0.6667 0.3333 0.8362
Tl 0.3333 0.6667 0.3154
Pb 0.3333 0.6667 0.0000


Computed, not measured: a relaxed Sn4Te2Cl5 crystal at the PBE-GGA level of DFT.

ΔE_f (raw) = -0.677 eV/atom
SG = P-1, No. 2

a = 4.2682 Å, b = 11.9472 Å, c = 9.5832 Å
α = 84.14°, β = 102.72°, γ = 90.06°
Fractional coordinates of all 11 atoms:
Sn 0.9998 0.8154 0.9922
Sn 0.3418 0.3718 0.6832
Sn 0.6582 0.6282 0.3168
Sn 0.0001 0.1846 0.0078
Cl 0.1625 0.4801 0.3258
Cl 0.8375 0.5199 0.6742
Cl 0.8642 0.1887 0.7299
Cl 0.1358 0.8113 0.2701
Cl 0.5000 0.0000 0.0000
Te 0.5013 0.3616 0.0078
Te 0.4987 0.6384 0.9922


Computed, not measured: a relaxed LiCa2Ni crystal at the PBE-GGA level of DFT.

ΔE_f = 0.01 eV per atom
SG = Amm2, No. 38

a = 4.2758 Å, b = 4.2404 Å, c = 5.8801 Å
α = 68.81°, β = 90.00°, γ = 90.00°
Fractional coordinates of all 4 atoms:
Ni 0.5000 0.5613 0.7535
Ca 0.5000 0.2710 0.3330
Ca 0.0000 0.9863 0.9018
Li 0.0000 0.6815 0.5118


Computed, not measured: a relaxed B2TeF crystal at the PBE-GGA level of DFT.

ΔE_f (raw) = 1.005 eV/atom
offset from the most stable computed form = 373 meV per atom
SG = Fm-3m, No. 225

a = 4.1360 Å, b = 4.1360 Å, c = 4.1360 Å
α = 60.00°, β = 60.00°, γ = 60.00°
Fractional coordinates of all 4 atoms:
Te 0.5000 0.5000 0.5000
B 0.2500 0.2500 0.2500
B 0.7500 0.7500 0.7500
F 0.0000 0.0000 0.0000


Computed, not measured: a relaxed ZnAsSe2Cl crystal at the PBE-GGA level of DFT.

ΔE_f (raw) = 0.999 eV/atom
offset from the most stable computed form = 454 meV per atom
SG = P4/mmm, No. 123

a = 5.1047 Å, b = 5.1047 Å, c = 4.9033 Å
α = 90.00°, β = 90.00°, γ = 90.00°
Each line ends with the local moment (μB).
Fractional coordinates of all 5 atoms:
Zn 0.5000 0.5000 0.5000  -0.01
As 0.0000 0.0000 0.5000  0.37
Cl 0.0000 0.0000 0.0000  0.10
Se 0.0000 0.5000 0.0000  0.26
Se 0.5000 0.0000 0.0000  0.26


Computed, not measured: a relaxed LuThAgHg crystal at the PBE-GGA level of DFT.

ΔE_f = -0.22 eV per atom
SG = F-43m, No. 216

a = 5.2581 Å, b = 5.2581 Å, c = 5.2581 Å
α = 60.00°, β = 60.00°, γ = 60.00°
Each line ends with the local moment (μB).
Fractional coordinates of all 4 atoms:
Lu 0.5000 0.5000 0.5000  0.15
Ag 0.2500 0.2500 0.2500  0.02
Th 0.0000 0.0000 0.0000  0.16
Hg 0.7500 0.7500 0.7500  0.01


Computed, not measured: a relaxed SrSm2Gd crystal at the PBE-GGA level of DFT.

offset from the most stable computed form = 0 meV per atom
ΔE_f = 0.10 eV per atom
SG = P4/mmm, No. 123

a = 3.7261 Å, b = 3.7261 Å, c = 10.6784 Å
α = 90.00°, β = 90.00°, γ = 90.00°
Each line ends with the local moment (μB).
Fractional coordinates of all 4 atoms:
Gd 0.5000 0.5000 0.0000  7.13
Sm 0.0000 0.0000 0.7766  -0.06
Sm 0.0000 0.0000 0.2234  -0.06
Sr 0.5000 0.5000 0.5000  -0.02


Computed, not measured: a relaxed KYSn crystal at the PBE-GGA level of DFT.

offset from the most stable computed form = 25 meV per atom
ΔE_f = -0.37 eV per atom
SG = P-1, No. 2

a = 3.8348 Å, b = 4.7806 Å, c = 13.8611 Å
α = 89.71°, β = 89.73°, γ = 90.00°
Fractional coordinates of all 6 atoms:
Sn 0.7477 0.2477 0.6402
Sn 0.2523 0.7523 0.3598
K 0.7563 0.7481 0.1407
K 0.2437 0.2519 0.8593
Y 0.2485 0.7486 0.5893
Y 0.7515 0.2514 0.4107


Computed, not measured: a relaxed CdPAu crystal at the PBE-GGA level of DFT.

ΔE_f = -0.01 eV per atom
SG = P-1, No. 2

a = 3.7270 Å, b = 5.8757 Å, c = 6.2178 Å
α = 109.16°, β = 107.86°, γ = 89.73°
Fractional coordinates of all 6 atoms:
P 0.0217 0.6931 0.5453
P 0.9783 0.3069 0.4547
Au 0.6728 0.8290 0.8449
Au 0.3272 0.1710 0.1551
Cd 0.3426 0.6910 0.1853
Cd 0.6574 0.3090 0.8147


Computed, not measured: a relaxed MgPRh2 crystal at the PBE-GGA level of DFT.

ΔE_f = -0.47 eV per atom
SG = I-42d, No. 122

a = 6.8883 Å, b = 6.8883 Å, c = 5.5995 Å
α = 52.04°, β = 52.04°, γ = 90.00°
Fractional coordinates of all 8 atoms:
Rh 0.8750 0.9544 0.7500
Rh 0.7044 0.1250 0.2500
Rh 0.0456 0.6250 0.2500
Rh 0.3750 0.2956 0.7500
Mg 0.5000 0.5000 0.0000
Mg 0.2500 0.7500 0.5000
P 0.7500 0.2500 0.5000
P 0.0000 0.0000 0.0000


Computed, not measured: a relaxed Ce4Ga3 crystal at the PBE-GGA level of DFT.

ΔE_f = -0.24 eV per atom
SG = C2/m, No. 12

a = 4.2757 Å, b = 5.9052 Å, c = 7.8559 Å
α = 113.18°, β = 105.79°, γ = 90.00°
Fractional coordinates of all 7 atoms:
Ce 0.4235 0.6394 0.8471
Ce 0.1332 0.7178 0.2664
Ce 0.8668 0.2822 0.7336
Ce 0.5765 0.3606 0.1529
Ga 0.7863 0.6986 0.5726
Ga 0.0000 0.0000 0.0000
Ga 0.2137 0.3014 0.4274


Computed, not measured: a relaxed VReTc crystal at the PBE-GGA level of DFT.

offset from the most stable computed form = 45 meV per atom
ΔE_f = -0.13 eV per atom
SG = P3m1, No. 156

a = 2.7110 Å, b = 4.2798 Å, c = 4.2798 Å
α = 120.00°, β = 90.00°, γ = 90.00°
Fractional coordinates of all 3 atoms:
V 0.9987 0.0000 0.0000
Re 0.6910 0.3333 0.6667
Tc 0.3103 0.6667 0.3333


Computed, not measured: a relaxed CsBa3H crystal at the PBE-GGA level of DFT.

offset from the most stable computed form = 1029 meV per atom
SG = Pm-3m, No. 221

a = 7.0318 Å, b = 7.0318 Å, c = 7.0318 Å
α = 90.00°, β = 90.00°, γ = 90.00°
Each line ends with the local moment (μB).
Fractional coordinates of all 5 atoms:
Ba 0.0000 0.5000 0.0000  0.23
Ba 0.5000 0.0000 0.0000  0.18
Ba 0.0000 0.0000 0.5000  0.32
H 0.5000 0.5000 0.5000  -0.08
Cs 0.0000 0.0000 0.0000  0.16


Sequential DOS(E_F) output: 14.0 46.1 8.3 1.9 3.5 6.5 23.8 8.1 13.5 4.3 4.0 6.7 0.9 2.7 2.1 5.2 4.2 6.4 3.3 1.6 3.7 14.8 2.5 7.2 states/eV/cell